Record 1
Entry from the Alexandria database: crystalline Li5UO6 at its relaxed geometry (GGA-PBE).

Formation energy without anion corrections (eV/atom): -2.307

a b c (Å): 5.290 5.290 5.219
angles (deg): 99.45 99.45 120.18
Fractional positions:
Li 0.000 0.000 0.000
Li 0.167 0.833 0.500
Li 0.315 0.685 0.000
Li 0.685 0.315 0.000
Li 0.833 0.167 0.500
U 0.500 0.500 0.500
O 0.099 0.418 0.256
O 0.259 0.259 0.734
O 0.418 0.099 0.256
O 0.582 0.901 0.744
O 0.741 0.741 0.266
O 0.901 0.582 0.744

Record 2
Entry from the Alexandria database: crystalline Li3UO4 at its relaxed geometry (GGA-PBE).

Formation energy without anion corrections (eV/atom): -2.592

a b c (Å): 5.315 5.315 5.315
angles (deg): 130.05 130.05 73.33
Fractional positions:
Li 0.000 0.000 0.000
Li 0.250 0.750 0.500
Li 0.750 0.250 0.500
U 0.500 0.500 0.000
O 0.000 0.500 0.500
O 0.263 0.263 0.000
O 0.500 0.000 0.500
O 0.737 0.737 0.000

Record 3
Entry from the Alexandria database: crystalline LiUO4 at its relaxed geometry (GGA-PBE).

Formation energy without anion corrections (eV/atom): -2.427

a b c (Å): 5.979 5.979 5.979
angles (deg): 106.03 106.03 116.61
Fractional positions:
Li 0.000 0.000 0.000
Li 0.750 0.250 0.500
U 0.255 0.755 0.500
U 0.505 0.505 0.000
O 0.200 0.512 0.688
O 0.262 0.074 0.812
O 0.262 0.450 0.188
O 0.286 0.974 0.312
O 0.662 0.974 0.688
O 0.724 0.536 0.812
O 0.724 0.912 0.188
O 0.824 0.512 0.312

Record 4
Entry from the Alexandria database: crystalline LiUO4 at its relaxed geometry (GGA-PBE).

Formation energy without anion corrections (eV/atom): -2.147

a b c (Å): 4.518 4.518 4.518
angles (deg): 107.00 107.00 114.53
Fractional positions:
Li 0.000 0.000 0.000
U 0.250 0.750 0.500
O 0.172 0.676 0.005
O 0.324 0.329 0.496
O 0.671 0.167 0.995
O 0.833 0.828 0.504